Density functional theory data (PBE+U) for CoSbIrO2 after structural relaxation.

Cell lengths 3.5734, 7.1442, 3.5734 Å; angles 90.00, 90.00, 90.00 degrees
Last column: magnetic moment on the atom in μB.
Atoms (fractional coordinates):
Co: 0.0000 0.0000 0.0000  -0.26
Ir: 0.5000 0.5000 0.5000  0.09
O: 0.5000 0.0000 0.0000  0.36
O: 0.0000 0.0000 0.5000  0.14
Sb: 0.0000 0.5000 0.0000  0.01

Spin magnetization ... 0.43 μB per formula unit
Uncorrected energy ... -5.248 eV/atom